[1]
Density functional theory data (GGA-PBE) for crystalline Pr3Dy2Y6Pu at its relaxed geometry.

abc: 6.2266 6.2266 11.8199
angles: 95.04 95.04 120.02
With the nearest neighbours (Å) after each atom.
Fractional positions:
Pr1 0.0000 0.0000 0.0000  6 Pr 3.59-3.60, 6 Y 3.62-3.64
Pr2 0.3329 0.6671 0.0000  6 Pr 3.59-3.60, 6 Y 3.62-3.64
Pr3 0.6671 0.3329 0.0000  6 Pr 3.59-3.60, 6 Y 3.62-3.64
Dy1 0.1666 0.8334 0.5000  6 Y 3.52, 3 Dy 3.59-3.60, 3 Pu 3.59-3.60
Dy2 0.8334 0.1666 0.5000  6 Y 3.52, 3 Dy 3.59-3.60, 3 Pu 3.59-3.60
Y1 0.0894 0.4186 0.2560  1 Pu 3.50, 2 Dy 3.52, 6 Y 3.55-3.62, 3 Pr 3.62-3.64
Y2 0.2520 0.2520 0.7441  1 Pu 3.50, 2 Dy 3.52, 6 Y 3.55-3.62, 3 Pr 3.62-3.64
Y3 0.4186 0.0894 0.2560  1 Pu 3.50, 2 Dy 3.52, 6 Y 3.55-3.62, 3 Pr 3.62-3.64
Y4 0.5814 0.9106 0.7440  1 Pu 3.50, 2 Dy 3.52, 6 Y 3.55-3.62, 3 Pr 3.62-3.64
Y5 0.7480 0.7480 0.2559  1 Pu 3.50, 2 Dy 3.52, 6 Y 3.55-3.62, 3 Pr 3.62-3.64
Y6 0.9106 0.5814 0.7440  1 Pu 3.50, 2 Dy 3.52, 6 Y 3.55-3.62, 3 Pr 3.62-3.64
Pu1 0.5000 0.5000 0.5000  6 Y 3.50, 6 Dy 3.59-3.60

Computed properties:
The space-group type is C2/m, No. 12. The total energy comes out at -6.34 eV per atom. The energy of formation from the pure elements is 45.6 meV/atom. The value obtained for the volume is 32.6 A^3/atom.

[2]
Density functional theory data (GGA-PBE) for crystalline RbPr2Dy at its relaxed geometry.

abc: 13.7632 13.7632 13.7632
angles: 15.52 15.52 15.52
With the nearest neighbours (Å) after each atom.
Fractional positions:
Rb1 0.0000 0.0000 0.0000  6 Rb 3.72, 2 Pr 3.93
Pr1 0.0964 0.0964 0.0964  3 Dy 3.58, 6 Pr 3.72, 1 Rb 3.93
Pr2 0.9036 0.9036 0.9036  3 Dy 3.58, 6 Pr 3.72, 1 Rb 3.93
Dy1 0.5000 0.5000 0.5000  6 Pr 3.58, 6 Dy 3.72

Computed properties:
The space-group type is R-3m, No. 166. The total energy comes out at -3.55 eV per atom. The energy of formation from the pure elements is 233.4 meV/atom. The value obtained for the volume is 40.6 A^3/atom.

[3]
Density functional theory data (GGA-PBE) for crystalline RbPrDy4S8 at its relaxed geometry.

abc: 8.4132 8.4132 8.4132
angles: 58.80 58.80 58.80
With the nearest neighbours (Å) after each atom.
Fractional positions:
Rb1 0.0000 0.0000 0.0000  4 S 2.92-2.94
Pr1 0.6349 0.6349 0.6349  6 S 2.78-2.98
Dy1 0.1173 0.6342 0.6342  6 S 2.65-2.92
Dy2 0.2557 0.2557 0.2557  4 S 2.66-2.73
Dy3 0.6342 0.1173 0.6342  6 S 2.65-2.92
Dy4 0.6342 0.6342 0.1173  6 S 2.65-2.92
S1 0.3829 0.3829 0.8621  3 Dy 2.66-2.91, 1 Pr 2.98
S2 0.3829 0.8621 0.3829  3 Dy 2.66-2.91, 1 Pr 2.98
S3 0.3869 0.3869 0.3869  4 Dy 2.73-2.92
S4 0.4337 0.8688 0.8688  2 Dy 2.65, 1 Pr 2.78, 1 Rb 2.94
S5 0.8594 0.8594 0.8594  3 Dy 2.66, 1 Rb 2.92
S6 0.8621 0.3829 0.3829  3 Dy 2.66-2.91, 1 Pr 2.98
S7 0.8688 0.4337 0.8688  2 Dy 2.65, 1 Pr 2.78, 1 Rb 2.94
S8 0.8688 0.8688 0.4337  2 Dy 2.65, 1 Pr 2.78, 1 Rb 2.94

Computed properties:
The space-group type is R3m, No. 160. The total energy comes out at -5.98 eV per atom. The value obtained for the volume is 29.3 A^3/atom. The calculation puts the formation energy without anion corrections at -26.5 eV/f.u.